Below is an optimized crystal structure of TaSe2BrCl, with properties calculated at the GGA-PBE level.

```
TaSe2BrCl
1.0
5.003 0.000 0.000
0.000 5.003 0.000
0.000 0.000 5.165
Ta Se Br Cl
1 2 1 1
direct
0.000 0.000 0.000
0.000 0.500 0.000
0.500 0.000 0.000
0.000 0.000 0.500
0.500 0.500 0.500
```

Calculated values
Offset from the most stable computed form = 0.0 meV per atom
Total moment = 0.0 μB per formula unit
Calculated total energy = -4.656 eV/atom
Symmetry = P4/mmm, No. 123